First-principles (GGA-PBEsol) data for Tl2Te5P after structural relaxation, as listed in Alexandria via LeMat-Bulk.

Structure (extended XYZ):
```
32
Lattice="-5.947 3.921 -3.802 -5.431 -3.656 4.726 1.048 11.039 9.744" Properties=species:S:1:pos:R:3 pbc="T T T"
Te -2.284 5.052 5.704
Te -2.128 8.542 6.621
Te -2.871 0.448 -0.199
Te -2.060 11.581 6.591
Te -2.587 3.716 2.362
Te -6.392 2.040 -1.624
Te -5.881 9.978 5.398
Te -4.986 -1.775 2.547
Te -8.046 6.252 4.963
Te -2.581 -0.409 3.615
Te -7.744 7.588 8.306
Te -2.839 3.379 -0.649
Te -5.839 3.777 7.531
Te -8.508 -0.183 1.123
Te -3.992 6.152 9.529
Te -4.492 7.527 3.137
Te -1.802 7.793 10.855
Te -6.339 5.152 1.138
Te -4.450 1.326 5.270
Te -8.202 2.762 4.046
Tl -4.770 9.810 9.004
Tl 0.650 6.843 6.040
Tl -5.560 1.494 1.664
Tl 0.398 4.196 3.704
Tl -5.040 6.975 6.502
Tl 0.129 1.362 1.202
Tl 0.919 9.678 8.542
Tl -5.291 4.329 4.166
P -2.328 8.756 4.097
P -2.571 6.204 1.845
P -2.070 4.968 8.361
P -2.313 2.416 6.109
```

Properties
For the magnetization, the calculation gives 0.00 μB per cell. For the uncorrected formation energy, the calculation gives -2.0 kJ/mol of atoms. The symmetry is No. 127.